# 1
Below is an optimized crystal structure of LiY2UO6, with properties calculated at the PBE level.

Structure (POSCAR):
```
LiY2UO6
1.0
-2.887 3.537 3.530
-5.234 -1.485 1.926
-0.588 -1.587 5.827
Li Y U O
1 2 1 6
direct
0.792 0.791 0.625
0.528 0.528 0.415
0.021 0.021 0.937
0.318 0.318 0.045
0.603 0.226 0.234
0.226 0.937 0.234
0.937 0.603 0.234
0.413 0.696 0.763
0.696 0.128 0.763
0.128 0.413 0.763
```

Its space-group type is No. 146. The value obtained for the formation energy (no corrections) is -31.7 eV/f.u. The total energy comes out at -87.53 eV/f.u. The spin magnetization comes out at 1.0 μB per cell.

---

# 2
Below is an optimized crystal structure of PbAuSCl2, with properties calculated at the PBE level.

Structure (POSCAR):
```
PbAuSCl2
1.0
5.346 0.000 0.000
0.000 5.346 0.000
0.000 0.000 5.249
Pb S Au Cl
1 1 1 2
direct
0.000 0.000 0.000
0.000 0.000 0.500
0.500 0.500 0.500
0.000 0.500 0.000
0.500 0.000 0.000
```

Its space-group type is No. 123. The value obtained for the density of states at the Fermi level is 0.325 states/eV per atom. The value obtained for the formation energy (no corrections) is 1.0 eV/f.u. The total energy comes out at -13.84 eV/f.u. The spin magnetization comes out at 0.0 μB per cell.

---

# 3
Below is an optimized crystal structure of TbAlZn, with properties calculated at the PBE level.

Structure (POSCAR):
```
TbAlZn
1.0
-1.498 -2.932 0.431
2.959 -1.451 0.407
-1.018 3.147 5.079
Zn Tb Al
1 1 1
direct
0.930 0.930 0.860
0.614 0.614 0.228
0.306 0.306 0.611
```

Its space-group type is No. 107. The value obtained for the density of states at the Fermi level is 0.641 states/eV per atom. The calculated formation energy comes out at -0.73 eV/f.u. The total energy comes out at -10.38 eV/f.u. The spin magnetization comes out at 0.1 μB per cell.

---

# 4
Below is an optimized crystal structure of Ac2CeF8, with properties calculated at the PBE level.

Structure (POSCAR):
```
Ac2CeF8
1.0
-2.795 -3.334 0.467
2.759 -2.861 -3.919
3.948 0.461 6.417
Ac Ce F
2 1 8
direct
0.171 0.671 0.342
0.829 0.329 0.658
0.500 0.000 0.000
0.654 0.904 0.309
0.346 0.596 0.691
0.187 0.187 0.374
0.000 0.250 0.000
0.813 0.813 0.626
0.654 0.404 0.309
0.346 0.096 0.691
0.000 0.750 0.000
```

Its space-group type is No. 71. The value obtained for the density of states at the Fermi level is 0.683 states/eV per atom. The value obtained for the formation energy (no corrections) is -42.7 eV/f.u. The total energy comes out at -71.84 eV/f.u. The spin magnetization comes out at 2.0 μB per cell.